Version A
Density functional theory data (GGA-PBE) for a relaxed structure of DyTmSc2.

Cell: 5.382 5.382 5.382 Å, 60.00 60.00 60.00°
Sites, in units of the cell vectors:
1 Sc 0.250 0.250 0.250
2 Sc 0.750 0.750 0.750
3 Dy 0.000 0.000 0.000
4 Tm 0.500 0.500 0.500

## Properties
The space-group type is Fm-3m. The density of states at the Fermi level comes out at 6.7 states/eV per cell. The calculated volume is 110.24 Å³/cell.

=====

Version B
Density functional theory data (GGA-PBE) for a relaxed structure of DyTmSc2.

Cell: 3.428 3.428 9.364 Å, 90.00 90.00 90.00°
Sites, in units of the cell vectors:
1 Tm 0.500 0.500 0.000
2 Sc 0.000 0.000 0.751
3 Sc 0.000 0.000 0.249
4 Dy 0.500 0.500 0.500

## Properties
The space-group type is P4/mmm. The density of states at the Fermi level comes out at 6.6 states/eV per cell. The calculated volume is 110.04 Å³/cell.

=====

Which of them is least stable? Easy: version A.

=====

Version A
Density functional theory data (GGA-PBE) for a relaxed structure of DyTmSc2.

Cell: 4.688 4.843 4.843 Å, 90.00 90.00 90.00°
Sites, in units of the cell vectors:
1 Dy 0.500 0.000 0.000
2 Tm 0.500 0.500 0.500
3 Sc 0.000 0.500 0.000
4 Sc 0.000 0.000 0.500

## Properties
The space-group type is P4/mmm. The density of states at the Fermi level comes out at 7.2 states/eV per cell. The calculated volume is 109.95 Å³/cell.

=====

Version B
Density functional theory data (GGA-PBE) for a relaxed structure of DyTmSc2.

Cell: 3.733 3.732 8.070 Å, 90.00 90.00 90.00°
Sites, in units of the cell vectors:
1 Sc 0.000 0.000 0.024
2 Sc 0.500 0.500 0.222
3 Tm 0.500 0.500 0.780
4 Dy 0.000 0.000 0.474

## Properties
The space-group type is P4mm. The density of states at the Fermi level comes out at 7.0 states/eV per cell. The calculated volume is 112.43 Å³/cell.

=====

Which of them is least stable? Easy: version B.